No. 1
Crystalline CsHg12 at its relaxed geometry. Source: the Alexandria database, functional GGA-PBE.

Cell lengths 8.5747, 8.5747, 8.5747 Å; angles 90.00, 90.00, 90.00 degrees
Closest atoms and distances in Å follow each position.
Atoms (fractional coordinates):
Cs 0.0000 0.0000 0.0000  24 Hg 4.79
Hg 0.0000 0.2502 0.5000  4 Hg 3.03
Hg 0.0000 0.5000 0.2502  4 Hg 3.03
Hg 0.0000 0.5000 0.7498  4 Hg 3.03
Hg 0.0000 0.7498 0.5000  4 Hg 3.03
Hg 0.2502 0.0000 0.5000  4 Hg 3.03
Hg 0.2502 0.5000 0.0000  4 Hg 3.03
Hg 0.5000 0.0000 0.2502  4 Hg 3.03
Hg 0.5000 0.0000 0.7498  4 Hg 3.03
Hg 0.5000 0.2502 0.0000  4 Hg 3.03
Hg 0.5000 0.7498 0.0000  4 Hg 3.03
Hg 0.7498 0.0000 0.5000  4 Hg 3.03
Hg 0.7498 0.5000 0.0000  4 Hg 3.03

Computed properties:
N(E_F): 4.66 states/eV per cell
Space group: Pm-3m (221)
Energy: -0.321 eV/atom



No. 2
Crystalline K2NaCd12Ga3 at its relaxed geometry. Source: the Alexandria database, functional GGA-PBE.

Cell lengths 7.7982, 7.7982, 7.7982 Å; angles 86.80, 86.80, 86.80 degrees
Closest atoms and distances in Å follow each position.
Atoms (fractional coordinates):
K 0.2403 0.2403 0.2403  3 Ga 3.37, 9 Cd 3.48-3.67, 1 Na 3.70
K 0.7597 0.7597 0.7597  3 Ga 3.37, 9 Cd 3.48-3.67, 1 Na 3.70
Na 0.5000 0.5000 0.5000  6 Cd 3.08
Cd 0.0796 0.0796 0.6438  4 Cd 2.90-3.11
Cd 0.0796 0.6438 0.0796  4 Cd 2.90-3.11
Cd 0.2030 0.6951 0.6951  1 Ga 2.82, 3 Cd 2.90-3.11, 1 Na 3.08
Cd 0.3049 0.3049 0.7970  1 Ga 2.82, 3 Cd 2.90-3.11, 1 Na 3.08
Cd 0.3049 0.7970 0.3049  1 Ga 2.82, 3 Cd 2.90-3.11, 1 Na 3.08
Cd 0.3562 0.9204 0.9204  4 Cd 2.90-3.11
Cd 0.6438 0.0796 0.0796  4 Cd 2.90-3.11
Cd 0.6951 0.2030 0.6951  1 Ga 2.82, 3 Cd 2.90-3.11, 1 Na 3.08
Cd 0.6951 0.6951 0.2030  1 Ga 2.82, 3 Cd 2.90-3.11, 1 Na 3.08
Cd 0.7970 0.3049 0.3049  1 Ga 2.82, 3 Cd 2.90-3.11, 1 Na 3.08
Cd 0.9204 0.3562 0.9204  4 Cd 2.90-3.11
Cd 0.9204 0.9204 0.3562  4 Cd 2.90-3.11
Ga 0.0000 0.5000 0.5000  2 Cd 2.82
Ga 0.5000 0.0000 0.5000  2 Cd 2.82
Ga 0.5000 0.5000 0.0000  2 Cd 2.82

Computed properties:
N(E_F): 6.99 states/eV per cell
Space group: R-3m (166)
Energy: -1.254 eV/atom



No. 3
Crystalline LaCe2TmHg4 at its relaxed geometry. Source: the Alexandria database, functional GGA-PBE.

Cell lengths 9.3891, 9.3891, 9.3891 Å; angles 33.30, 33.30, 33.30 degrees
Closest atoms and distances in Å follow each position.
Atoms (fractional coordinates):
La 0.0000 0.0000 0.0000  8 Hg 3.35-3.41
Ce 0.2505 0.2505 0.2505  8 Hg 3.24-3.45
Ce 0.7495 0.7495 0.7495  8 Hg 3.24-3.45
Tm 0.5000 0.5000 0.5000  8 Hg 3.19-3.27
Hg 0.1285 0.1285 0.1285  4 Ce 3.24-3.33, 3 Tm 3.27, 1 La 3.41
Hg 0.3801 0.3801 0.3801  1 Tm 3.19, 4 Ce 3.25-3.45, 3 La 3.35
Hg 0.6199 0.6199 0.6199  1 Tm 3.19, 4 Ce 3.25-3.45, 3 La 3.35
Hg 0.8715 0.8715 0.8715  4 Ce 3.24-3.33, 3 Tm 3.27, 1 La 3.41

Computed properties:
N(E_F): 21.51 states/eV per cell
Space group: R-3m (166)
Energy: -3.180 eV/atom



No. 4
Crystalline PuAlH2 at its relaxed geometry. Source: the Alexandria database, functional GGA-PBE.

Cell lengths 5.7035, 5.7035, 5.7035 Å; angles 33.14, 33.14, 33.14 degrees
Closest atoms and distances in Å follow each position.
Atoms (fractional coordinates):
Pu 0.0000 0.0000 0.0000  2 H 2.14
Al 0.5000 0.5000 0.5000  6 H 1.96
H 0.1322 0.1322 0.1322  3 Al 1.96, 1 Pu 2.14, 3 H 2.18
H 0.8678 0.8678 0.8678  3 Al 1.96, 1 Pu 2.14, 3 H 2.18

Computed properties:
N(E_F): 6.77 states/eV per cell
Space group: R-3m (166)
Energy: -6.114 eV/atom



No. 5
Crystalline SeS at its relaxed geometry. Source: the Alexandria database, functional GGA-PBE.

Cell lengths 3.5476, 3.5476, 4.3238 Å; angles 90.00, 90.00, 90.00 degrees
Closest atoms and distances in Å follow each position.
Atoms (fractional coordinates):
Se 0.0000 0.0000 0.0000  4 S 2.51
S 0.5000 0.5000 0.0000  4 Se 2.51

Computed properties:
Raw formation energy: 0.738 eV per formula unit
N(E_F): 2.33 states/eV per cell
Space group: P4/mmm (123)
Energy: -3.437 eV/atom



No. 6
Crystalline NbGe2MoPt at its relaxed geometry. Source: the Alexandria database, functional GGA-PBE.

Cell lengths 4.6605, 4.6605, 5.1938 Å; angles 90.00, 90.00, 90.00 degrees
Closest atoms and distances in Å follow each position.
Atoms (fractional coordinates):
Nb 0.0000 0.0000 0.0000  2 Pt 2.60
Ge 0.0000 0.5000 0.5000  2 Pt 2.33
Ge 0.5000 0.0000 0.5000  2 Pt 2.33
Mo 0.5000 0.5000 0.0000  4 Nb 3.30, 8 Ge 3.49
Pt 0.0000 0.0000 0.5000  4 Ge 2.33, 2 Nb 2.60

Computed properties:
N(E_F): 4.99 states/eV per cell
Space group: P4/mmm (123)
Energy: -6.036 eV/atom



No. 7
Crystalline LaPdN2 at its relaxed geometry. Source: the Alexandria database, functional GGA-PBE.

Cell lengths 6.6420, 6.6420, 6.6420 Å; angles 137.14, 137.14, 62.23 degrees
Closest atoms and distances in Å follow each position.
Atoms (fractional coordinates):
La 0.0000 0.0000 0.0000  4 N 2.41
La 0.7500 0.2500 0.5000  4 N 2.41
Pd 0.2500 0.7500 0.5000  4 N 2.08
Pd 0.5000 0.5000 0.0000  4 N 2.08
N 0.1878 0.6250 0.0628  2 Pd 2.08
N 0.3750 0.4378 0.5628  2 Pd 2.08
N 0.5622 0.1250 0.9372  2 Pd 2.08
N 0.8750 0.8122 0.4372  2 Pd 2.08

Computed properties:
Raw formation energy: -0.249 eV per formula unit
N(E_F): 2.98 states/eV per cell
Space group: I-42d (122)
Energy: -6.755 eV/atom



No. 8
Crystalline Ag5SnAu5 at its relaxed geometry. Source: the Alexandria database, functional GGA-PBE.

Cell lengths 5.4385, 5.5400, 7.1852 Å; angles 99.60, 97.72, 95.55 degrees
Closest atoms and distances in Å follow each position.
Atoms (fractional coordinates):
Ag 0.0000 0.0000 0.0000  2 Sn 2.77, 4 Ag 2.87-2.92, 4 Au 2.90-2.92
Ag 0.0427 0.7150 0.6370  3 Ag 2.78-2.87, 7 Au 2.89-3.08, 1 Sn 3.07
Ag 0.4925 0.7419 0.8983  3 Ag 2.85-2.97, 4 Au 2.89-3.01, 1 Sn 3.11
Ag 0.5075 0.2581 0.1017  3 Ag 2.85-2.97, 4 Au 2.89-3.01, 1 Sn 3.11
Ag 0.9573 0.2850 0.3630  3 Ag 2.78-2.87, 7 Au 2.89-3.08, 1 Sn 3.07
Sn 0.0000 0.5000 0.0000  4 Ag 2.77-3.07, 2 Au 2.81
Au 0.2381 0.2346 0.7232  4 Au 2.79-3.07, 1 Sn 2.81, 6 Ag 2.89-3.08
Au 0.3013 0.9173 0.3435  5 Au 2.79-3.07, 4 Ag 2.90-3.01
Au 0.5000 0.5000 0.5000  4 Au 2.79-2.97, 6 Ag 2.96-3.07
Au 0.6987 0.0827 0.6565  5 Au 2.79-3.07, 4 Ag 2.90-3.01
Au 0.7619 0.7654 0.2768  4 Au 2.79-3.07, 1 Sn 2.81, 6 Ag 2.89-3.08

Computed properties:
N(E_F): 2.40 states/eV per cell
Space group: P-1 (2)
Energy: -3.143 eV/atom



No. 9
Crystalline Mg2S2Cl3 at its relaxed geometry. Source: the Alexandria database, functional GGA-PBE.

Cell lengths 3.9761, 7.7088, 11.7300 Å; angles 80.91, 89.69, 75.25 degrees
Closest atoms and distances in Å follow each position.
Atoms (fractional coordinates):
Mg 0.1296 0.2336 0.1387  3 Cl 2.35-2.39, 1 S 2.48
Mg 0.8704 0.7664 0.8613  3 Cl 2.35-2.39, 1 S 2.48
S 0.2242 0.9546 0.0488  1 S 2.03
S 0.7758 0.0454 0.9512  1 S 2.03
Cl 0.0000 0.5000 0.0000  2 Mg 2.35
Cl 0.3710 0.7725 0.7489  2 Mg 2.38-2.39
Cl 0.6290 0.2275 0.2511  2 Mg 2.38-2.39

Computed properties:
Raw formation energy: -8.618 eV per formula unit
N(E_F): 1.30 states/eV per cell
Space group: P-1 (2)
Energy: -3.657 eV/atom



No. 10
Crystalline Ga2BiAu at its relaxed geometry. Source: the Alexandria database, functional GGA-PBE.

Cell lengths 6.7506, 6.7506, 6.7506 Å; angles 35.30, 35.30, 35.30 degrees
Closest atoms and distances in Å follow each position.
Atoms (fractional coordinates):
Ga 0.2327 0.2327 0.2327  3 Au 2.67
Ga 0.7673 0.7673 0.7673  3 Au 2.67
Bi 0.0000 0.0000 0.0000  6 Ga 3.04
Au 0.5000 0.5000 0.5000  6 Ga 2.67

Computed properties:
N(E_F): 1.91 states/eV per cell
Space group: R-3m (166)
Energy: -3.337 eV/atom



No. 11
Crystalline PaCdAg2 at its relaxed geometry. Source: the Alexandria database, functional GGA-PBE.

Cell lengths 3.0805, 3.0805, 8.7594 Å; angles 90.00, 90.00, 90.00 degrees
Closest atoms and distances in Å follow each position.
Atoms (fractional coordinates):
Pa 0.0000 0.0000 0.0000  4 Pa 3.08, 8 Ag 3.21
Cd 0.0000 0.0000 0.5000  8 Ag 2.97, 4 Cd 3.08
Ag 0.5000 0.5000 0.2693  4 Cd 2.97, 4 Ag 3.08, 4 Pa 3.21
Ag 0.5000 0.5000 0.7307  4 Cd 2.97, 4 Ag 3.08, 4 Pa 3.21

Computed properties:
N(E_F): 4.91 states/eV per cell
Space group: P4/mmm (123)
Energy: -3.950 eV/atom



No. 12
Crystalline KMnRh at its relaxed geometry. Source: the Alexandria database, functional GGA-PBE.

Cell lengths 4.6639, 4.6639, 4.6639 Å; angles 60.00, 60.00, 60.00 degrees
Closest atoms and distances in Å follow each position.
Atoms (fractional coordinates):
K 0.0000 0.0000 0.0000  4 Rh 2.86
Mn 0.5000 0.5000 0.5000  4 Rh 2.86
Rh 0.2500 0.2500 0.2500  4 Mn 2.86, 4 K 2.86

Computed properties:
N(E_F): 0.92 states/eV per cell
Space group: F-43m (216)
Energy: -4.908 eV/atom